Entry 1:
A plane-wave DFT calculation with PBE was carried out for crystalline TaTlNi at its relaxed geometry.

Calculated values
symmetry = F-43m
V = 20.9 Å³ per atom

a b c (Å): 4.457 4.457 4.457
angles (deg): 60.00 60.00 60.00
Fractional positions:
Ta1 0.750 0.750 0.750
Tl1 0.000 0.000 0.000
Ni1 0.500 0.500 0.500

=====

Entry 2:
A plane-wave DFT calculation with PBE was carried out for crystalline TaTl2Ni at its relaxed geometry.

Calculated values
symmetry = I-42d
V = 20.3 Å³ per atom

a b c (Å): 7.502 7.502 6.041
angles (deg): 51.62 51.62 90.00
Fractional positions:
Tl1 0.161 0.625 0.250
Ta1 0.750 0.250 0.500
Tl2 0.589 0.125 0.250
Ni1 0.500 0.500 0.000
Tl3 0.875 0.839 0.750
Tl4 0.375 0.411 0.750
Ta2 0.000 0.000 0.000
Ni2 0.250 0.750 0.500

=====

E for every record listed, in sequence, given in eV/cell: -17.236; -38.576.